Rb2NaCa | PBE-GGA | relaxed

Results
E_tot = -4.50 eV/cell
formation energy from the elements = 0.189 eV per atom
DOS at the Fermi energy = 0.89 states/eV/atom
magnetization = 0.000 μB/atom

a b c (Å): 4.6971 7.2672 7.2672
angles (deg): 90.00 90.00 90.00
Closest atoms and distances in Å follow each position.
Element x y z (fractional)
Na 0.5000 0.5000 0.5000  8 Rb 4.33, 2 Na 4.70
Ca 0.5000 0.0000 0.0000  8 Rb 4.33, 2 Ca 4.70
Rb 0.0000 0.5000 0.0000  4 Na 4.33, 4 Ca 4.33, 2 Rb 4.70
Rb 0.0000 0.0000 0.5000  4 Na 4.33, 4 Ca 4.33, 2 Rb 4.70